Material: Cs2NaPdI6
Method: DFT, GGA-PBE
State: optimized geometry

Values from the calculation:
The electronic total energy comes out at -2.640 eV/atom. The space group is No. 139.

a b c (Å): 8.407 8.407 8.407
angles (deg): 119.94 119.94 90.10
Positions (direct):
Cs1 0.250 0.750 0.500
Cs2 0.750 0.250 0.500
Na1 0.000 0.000 0.000
Pd1 0.500 0.500 0.000
I1 0.266 0.266 0.000
I2 0.266 0.266 0.532
I3 0.266 0.734 0.000
I4 0.734 0.266 0.000
I5 0.734 0.734 0.000
I6 0.734 0.734 0.468